A plane-wave DFT calculation with PBE-GGA was carried out for a relaxed Tb2Dy2YTm crystal.

abc: 6.991 5.596 9.651
angles: 90.00 90.00 90.00
Sites, in units of the cell vectors:
Tb1 0.250 0.000 0.159
Tb2 0.250 0.500 0.673
Tb3 0.750 0.000 0.841
Tb4 0.750 0.500 0.327
Dy1 0.000 0.500 0.000
Dy2 0.250 0.000 0.826
Dy3 0.500 0.500 0.000
Dy4 0.750 0.000 0.174
Y1 0.000 0.000 0.500
Y2 0.500 0.000 0.500
Tm1 0.250 0.500 0.339
Tm2 0.750 0.500 0.661

- DOS(E_F) (states/eV/cell) = 22.21
- total DFT energy (no corrections) (eV/atom) = -4.832